[1]
! CdNi6Sb, PBEsol geometry, DFT SCAN; values from VASP
&SYSTEM
  ibrav = 0, nat = 32, ntyp = 3
/
ATOMIC_SPECIES
Cd 112.41 Cd.upf
Ni 58.69 Ni.upf
Sb 121.76 Sb.upf
CELL_PARAMETERS angstrom
3.680 -5.179 0.000
3.680 5.179 0.000
0.000 0.000 10.369
ATOMIC_POSITIONS angstrom
Cd 0.000 0.000 2.575
Cd 0.000 0.000 7.794
Cd 3.680 2.621 0.000
Cd 3.680 -2.621 0.000
Ni 0.000 0.000 0.000
Ni 0.000 0.000 5.185
Ni 1.861 1.300 1.311
Ni 1.861 1.300 9.058
Ni 1.863 1.290 3.902
Ni 1.863 1.290 6.467
Ni 3.680 2.585 2.622
Ni 3.680 2.585 7.748
Ni 1.861 -1.300 1.311
Ni 1.861 -1.300 9.058
Ni 1.863 -1.290 3.902
Ni 1.863 -1.290 6.467
Ni 3.680 0.000 0.000
Ni 3.680 0.000 5.185
Ni 5.497 1.290 3.902
Ni 5.497 1.290 6.467
Ni 5.498 1.300 1.311
Ni 5.498 1.300 9.058
Ni 3.680 -2.585 2.622
Ni 3.680 -2.585 7.748
Ni 5.497 -1.290 3.902
Ni 5.497 -1.290 6.467
Ni 5.498 -1.300 1.311
Ni 5.498 -1.300 9.058
Sb 3.680 2.621 5.185
Sb 3.680 0.000 2.554
Sb 3.680 0.000 7.815
Sb 3.680 -2.621 5.185
! DFT total energy: -20.5631 eV/atom
! formation energy from raw total energies: 0.03 eV per atom
! D(E_F): 22.1 states/eV per cell
! space group: No. 65

[2]
! AsIN2, PBEsol geometry, DFT SCAN; values from VASP
&SYSTEM
  ibrav = 0, nat = 4, ntyp = 3
/
ATOMIC_SPECIES
As 74.92 As.upf
I 126.90 I.upf
N 14.01 N.upf
CELL_PARAMETERS angstrom
0.000 2.963 2.963
2.963 0.000 2.963
2.963 2.963 0.000
ATOMIC_POSITIONS angstrom
As 0.000 0.000 0.000
I 2.963 2.963 2.963
N 1.482 1.482 1.482
N 4.445 4.445 4.445
! DFT total energy: -16.6547 eV/atom
! formation energy from raw total energies: 2.22 eV per atom
! D(E_F): 1.2 states/eV per cell
! space group: No. 225

[3]
! MnHg2Ir, PBEsol geometry, DFT SCAN; values from VASP
&SYSTEM
  ibrav = 0, nat = 4, ntyp = 3
/
ATOMIC_SPECIES
Mn 54.94 Mn.upf
Hg 200.59 Hg.upf
Ir 192.22 Ir.upf
CELL_PARAMETERS angstrom
-2.011 2.011 4.140
2.011 -2.011 4.140
2.011 2.011 -4.140
ATOMIC_POSITIONS angstrom
Mn 0.000 0.000 0.000
Hg 0.000 0.000 4.140
Hg 0.000 2.011 2.070
Ir 2.011 0.000 2.070
! DFT total energy: -56.2452 eV/atom
! E above lowest polymorph: 108 meV per atom
! D(E_F): 1.3 states/eV per cell
! space group: No. 119
! E_form: 176 meV per atom

[4]
! ReSeBr2, PBEsol geometry, DFT SCAN; values from VASP
&SYSTEM
  ibrav = 0, nat = 4, ntyp = 3
/
ATOMIC_SPECIES
Re 186.21 Re.upf
Se 78.96 Se.upf
Br 79.90 Br.upf
CELL_PARAMETERS angstrom
3.094 0.000 0.000
0.000 4.573 0.000
0.000 0.000 5.498
ATOMIC_POSITIONS angstrom
Re 0.000 0.000 0.000
Se 1.547 0.000 2.749
Br 0.000 2.287 2.749
Br 1.547 2.287 0.000
! DFT total energy: -31.1885 eV/atom
! formation energy from raw total energies: 1.34 eV per atom
! E above lowest polymorph: 950 meV per atom
! D(E_F): 2.2 states/eV per cell
! space group: No. 47

[5]
! Ta2Te2S, PBEsol geometry, DFT SCAN; values from VASP
&SYSTEM
  ibrav = 0, nat = 5, ntyp = 3
/
ATOMIC_SPECIES
Ta 180.95 Ta.upf
Te 127.60 Te.upf
S 32.06 S.upf
CELL_PARAMETERS angstrom
-1.895 1.895 8.033
1.895 -1.895 8.033
1.895 1.895 -8.033
ATOMIC_POSITIONS angstrom
Ta 1.895 0.000 4.017
Ta 0.000 1.895 4.017
Te 0.000 0.000 1.868
Te 0.000 0.000 14.199
S 0.000 0.000 8.033
! DFT total energy: -43.1117 eV/atom
! formation energy from raw total energies: 0.35 eV per atom
! D(E_F): 6.0 states/eV per cell
! space group: No. 139

[6]
! TbIn2Ni, PBEsol geometry, DFT SCAN; values from VASP
&SYSTEM
  ibrav = 0, nat = 8, ntyp = 3
/
ATOMIC_SPECIES
Tb 158.93 Tb.upf
In 114.82 In.upf
Ni 58.69 Ni.upf
CELL_PARAMETERS angstrom
2.143 -5.155 0.000
2.143 5.155 0.000
0.000 0.000 7.261
ATOMIC_POSITIONS angstrom
Tb 2.143 4.450 5.446
Tb 2.143 -4.450 1.815
In 2.143 1.477 3.990
In 2.143 1.477 6.902
In 2.143 -1.477 0.359
In 2.143 -1.477 3.272
Ni 2.143 2.963 1.815
Ni 2.143 -2.963 5.446
! DFT total energy: -32.9685 eV/atom
! D(E_F): 4.3 states/eV per cell
! space group: No. 63
! E_form: -541 meV per atom

[7]
! TaRe2Ag, PBEsol geometry, DFT SCAN; values from VASP
&SYSTEM
  ibrav = 0, nat = 4, ntyp = 3
/
ATOMIC_SPECIES
Ta 180.95 Ta.upf
Re 186.21 Re.upf
Ag 107.87 Ag.upf
CELL_PARAMETERS angstrom
2.790 -4.043 0.000
2.790 4.043 0.000
0.000 0.000 2.765
ATOMIC_POSITIONS angstrom
Ta 0.000 0.000 0.000
Re 1.395 2.022 1.382
Re 1.395 -2.022 1.382
Ag 2.790 0.000 0.000
! DFT total energy: -59.6158 eV/atom
! E above lowest polymorph: 63 meV per atom
! D(E_F): 2.5 states/eV per cell
! space group: No. 65
! E_form: 421 meV per atom

[8]
! CuPt5, PBEsol geometry, DFT SCAN; values from VASP
&SYSTEM
  ibrav = 0, nat = 6, ntyp = 2
/
ATOMIC_SPECIES
Cu 63.55 Cu.upf
Pt 195.08 Pt.upf
CELL_PARAMETERS angstrom
5.123 0.000 0.000
-2.561 4.437 0.000
0.000 0.000 4.438
ATOMIC_POSITIONS angstrom
Cu 0.000 0.000 0.000
Pt -1.281 2.218 2.219
Pt 0.000 2.958 0.000
Pt 2.561 0.000 2.219
Pt 1.281 2.218 2.219
Pt 2.561 1.479 0.000
! DFT total energy: -60.7684 eV/atom
! D(E_F): 4.4 states/eV per cell
! space group: No. 191
! E_form: 259 meV per atom

[9]
! GaCoTeN2, PBEsol geometry, DFT SCAN; values from VASP
&SYSTEM
  ibrav = 0, nat = 5, ntyp = 4
/
ATOMIC_SPECIES
Ga 69.72 Ga.upf
Co 58.93 Co.upf
Te 127.60 Te.upf
N 14.01 N.upf
CELL_PARAMETERS angstrom
3.713 0.000 0.000
0.000 3.713 0.000
0.000 0.000 5.225
ATOMIC_POSITIONS angstrom
Ga 0.000 0.000 0.000
Co 1.856 1.856 2.612
Te 1.856 1.856 0.000
N 0.000 1.856 2.612
N 1.856 0.000 2.612
! DFT total energy: -16.9700 eV/atom
! formation energy from raw total energies: 0.93 eV per atom
! D(E_F): 1.7 states/eV per cell
! space group: No. 123

[10]
! Sm2GeRu3, PBEsol geometry, DFT SCAN; values from VASP
&SYSTEM
  ibrav = 0, nat = 6, ntyp = 3
/
ATOMIC_SPECIES
Sm 150.36 Sm.upf
Ge 72.64 Ge.upf
Ru 101.07 Ru.upf
CELL_PARAMETERS angstrom
2.747 1.586 4.033
-2.747 1.586 4.033
0.000 -3.172 4.033
ATOMIC_POSITIONS angstrom
Sm 0.000 0.000 1.536
Sm 0.000 0.000 10.564
Ge 0.000 0.000 6.050
Ru -1.374 -0.793 4.033
Ru -1.374 0.793 8.067
Ru 0.000 1.586 4.033
! DFT total energy: -35.8955 eV/atom
! D(E_F): 5.2 states/eV per cell
! space group: No. 166
! E_form: -487 meV per atom

[11]
! AgRu2Br, PBEsol geometry, DFT SCAN; values from VASP
&SYSTEM
  ibrav = 0, nat = 4, ntyp = 3
/
ATOMIC_SPECIES
Ag 107.87 Ag.upf
Ru 101.07 Ru.upf
Br 79.90 Br.upf
CELL_PARAMETERS angstrom
1.444 0.834 8.451
-1.444 0.834 8.451
0.000 -1.667 8.451
ATOMIC_POSITIONS angstrom
Ag 0.000 0.000 0.000
Ru 0.000 0.000 6.208
Ru 0.000 0.000 19.146
Br 0.000 0.000 12.677
! DFT total energy: -29.2048 eV/atom
! formation energy from raw total energies: 0.92 eV per atom
! E above lowest polymorph: 11 meV per atom
! D(E_F): 3.9 states/eV per cell
! space group: No. 166

[12]
! PrI3, PBEsol geometry, DFT SCAN; values from VASP
&SYSTEM
  ibrav = 0, nat = 8, ntyp = 2
/
ATOMIC_SPECIES
Pr 140.91 Pr.upf
I 126.90 I.upf
CELL_PARAMETERS angstrom
10.753 0.000 0.000
-5.376 9.312 0.000
0.000 0.000 4.100
ATOMIC_POSITIONS angstrom
Pr 0.000 6.208 1.025
Pr 5.376 3.104 3.075
I 0.000 3.849 3.075
I -2.043 7.387 3.075
I 3.333 1.925 1.025
I 2.043 7.387 3.075
I 7.419 1.925 1.025
I 5.376 5.463 1.025
! DFT total energy: -39.9006 eV/atom
! formation energy from raw total energies: -1.51 eV per atom
! D(E_F): 0.0 states/eV per cell
! space group: No. 194